(1)
{
  "formula": "Be2VRe",
  "functional": "PBE",
  "state": "optimized geometry",
  "dos_ef_per_ev_fu": 1.69,
  "ef_ev_per_atom": 0.3091,
  "lattice": [[-0.3388, -0.6806, -3.1038], [0.9739, -2.8253, -1.1318], [-4.4563, -3.1563, -0.4665]],
  "species": ["Re", "Be", "Be", "V"],
  "fractional_positions": [[0.5000, 0.5000, 0.5000], [0.2513, 0.2513, 0.2461], [0.7487, 0.7487, 0.7539], [0.0000, 0.0000, 0.0000]]
}

***

(2)
{
  "formula": "TbSiGeRh2",
  "functional": "PBE",
  "state": "optimized geometry",
  "formation_energy_uncorrected_ev_per_atom": -0.60,
  "dos_ef_per_ev_fu": 1.74,
  "lattice": [[-1.4155, -3.8346, 0.5837], [3.4616, -1.5292, -1.6514], [2.6817, -0.1178, 5.7300]],
  "species": ["Rh", "Rh", "Ge", "Tb", "Si"],
  "fractional_positions": [[0.5000, 0.0000, 0.8802], [0.0000, 0.5000, 0.8802], [0.5000, 0.5000, 0.6556], [0.0000, 0.0000, 0.5217], [0.0000, 0.0000, 0.0623]]
}

***

(3)
{
  "formula": "TaSnS",
  "functional": "PBE",
  "state": "optimized geometry",
  "formation_energy_uncorrected_ev_per_atom": -0.21,
  "dos_ef_per_ev_fu": 1.68,
  "lattice": [[7.3459, 0.5317, -0.3265], [0.9999, 6.5215, 2.0184], [0.1584, 3.2306, 9.4766]],
  "species": ["S", "S", "S", "S", "S", "S", "Sn", "Sn", "Sn", "Sn", "Sn", "Sn", "Ta", "Ta", "Ta", "Ta", "Ta", "Ta"],
  "fractional_positions": [[0.2198, 0.7236, 0.2472], [0.8211, 0.2009, 0.1196], [0.1789, 0.7991, 0.8804], [0.9540, 0.2789, 0.4488], [0.0460, 0.7211, 0.5512], [0.7802, 0.2764, 0.7528], [0.3221, 0.2588, 0.2756], [0.6779, 0.7412, 0.7244], [0.6600, 0.7636, 0.0823], [0.5293, 0.7463, 0.4298], [0.3400, 0.2364, 0.9177], [0.4707, 0.2537, 0.5702], [0.0908, 0.2755, 0.6749], [0.0000, 0.0000, 0.0000], [0.7390, 0.1051, 0.3851], [0.2610, 0.8949, 0.6149], [0.9092, 0.7245, 0.3251], [0.5000, 0.5000, 0.0000]]
}

***

(4)
{
  "formula": "NaAgO3",
  "functional": "PBE",
  "state": "optimized geometry",
  "formation_energy_uncorrected_ev_per_atom": 0.02,
  "dos_ef_per_ev_fu": 10.68,
  "lattice": [[4.0394, 0.0000, 0.0000], [0.0000, 4.0394, 0.0000], [0.0000, 0.0000, 4.0394]],
  "species": ["Na", "O", "O", "O", "Ag"],
  "fractional_positions": [[0.5000, 0.5000, 0.5000], [0.0000, 0.0000, 0.5000], [0.0000, 0.5000, 0.0000], [0.5000, 0.0000, 0.0000], [0.0000, 0.0000, 0.0000]]
}

***

(5)
{
  "formula": "TbPm2Pd4",
  "functional": "PBE",
  "state": "optimized geometry",
  "dos_ef_per_ev_fu": 4.88,
  "ef_ev_per_atom": -0.2189,
  "lattice": [[-4.5955, -0.2148, 2.0904], [1.5884, -3.6461, 3.1173], [3.5258, 7.0634, 2.3694]],
  "species": ["Pd", "Pd", "Pd", "Pd", "Pm", "Pm", "Tb"],
  "fractional_positions": [[0.1819, 0.1819, 0.3638], [0.5000, 0.0000, 0.0000], [0.0000, 0.5000, 0.0000], [0.8181, 0.8181, 0.6362], [0.3655, 0.3655, 0.7309], [0.6345, 0.6345, 0.2691], [0.0000, 0.0000, 0.0000]]
}

***

(6)
{
  "formula": "PmPrPdRh",
  "functional": "PBE",
  "state": "optimized geometry",
  "dos_ef_per_ev_fu": 2.77,
  "ef_ev_per_atom": -0.7011,
  "lattice": [[-4.6434, -1.1291, -1.6743], [-0.6354, -3.6962, -3.4020], [-2.1967, -4.3517, 1.3700]],
  "species": ["Pd", "Rh", "Pm", "Pr"],
  "fractional_positions": [[0.0000, 0.0000, 0.0000], [0.5000, 0.5000, 0.5000], [0.2500, 0.2500, 0.2500], [0.7500, 0.7500, 0.7500]]
}

***

(7)
{
  "formula": "Tb2PrHo6Mg",
  "functional": "PBE",
  "state": "optimized geometry",
  "dos_ef_per_ev_fu": 15.32,
  "ef_ev_per_atom": 0.1178,
  "lattice": [[-1.1042, 3.3410, -5.6247], [-10.8038, -0.2618, 1.0494], [6.3900, 8.3279, 2.7761]],
  "species": ["Ho", "Ho", "Ho", "Ho", "Ho", "Ho", "Ho", "Ho", "Ho", "Ho", "Ho", "Ho", "Tb", "Tb", "Tb", "Tb", "Pr", "Pr", "Mg", "Mg"],
  "fractional_positions": [[0.5200, 0.5207, 0.6946], [0.0200, 0.6946, 0.5207], [0.0350, 0.0800, 0.7880], [0.2826, 0.9125, 0.4324], [0.4650, 0.2120, 0.9200], [0.9800, 0.3054, 0.4793], [0.7826, 0.4324, 0.9125], [0.4800, 0.4793, 0.3054], [0.5350, 0.7880, 0.0800], [0.7174, 0.0875, 0.5676], [0.9650, 0.9200, 0.2120], [0.2174, 0.5676, 0.0875], [0.4979, 0.1801, 0.3470], [0.0021, 0.6530, 0.8199], [0.5021, 0.8199, 0.6530], [0.9979, 0.3470, 0.1801], [0.2500, 0.9900, 0.0100], [0.7500, 0.0100, 0.9900], [0.2500, 0.2924, 0.7076], [0.7500, 0.7076, 0.2924]]
}

***

(8)
{
  "formula": "Cs3TbSb2O9",
  "functional": "PBE",
  "state": "optimized geometry",
  "formation_energy_uncorrected_ev_per_atom": -1.55,
  "dos_ef_per_ev_fu": 10.85,
  "lattice": [[6.0850, 0.0000, 0.0000], [-3.0425, 5.2698, 0.0000], [0.0000, 0.0000, 7.4795]],
  "species": ["O", "O", "O", "O", "O", "O", "O", "O", "O", "Tb", "Sb", "Sb", "Cs", "Cs", "Cs"],
  "fractional_positions": [[0.1776, 0.8224, 0.3140], [0.0000, 0.5000, 0.0000], [0.5000, 0.0000, 0.0000], [0.3553, 0.1776, 0.6860], [0.5000, 0.5000, 0.0000], [0.1776, 0.3553, 0.3140], [0.6447, 0.8224, 0.3140], [0.8224, 0.6447, 0.6860], [0.8224, 0.1776, 0.6860], [0.0000, 0.0000, 0.5000], [0.3333, 0.6667, 0.1611], [0.6667, 0.3333, 0.8389], [0.0000, 0.0000, 0.0000], [0.3333, 0.6667, 0.6633], [0.6667, 0.3333, 0.3367]]
}

***

(9)
{
  "formula": "Ac2NpSeS5",
  "functional": "PBE",
  "state": "optimized geometry",
  "formation_energy_uncorrected_ev_per_atom": -1.47,
  "dos_ef_per_ev_fu": 10.07,
  "lattice": [[4.0695, 0.0000, 0.0000], [-2.0347, 8.5274, 0.0000], [0.0000, 0.0000, 12.8029]],
  "species": ["S", "S", "S", "S", "S", "S", "S", "S", "S", "S", "Ac", "Ac", "Ac", "Ac", "Se", "Se", "Np", "Np"],
  "fractional_positions": [[0.6915, 0.3830, 0.1501], [0.3338, 0.6677, 0.0017], [0.4872, 0.9744, 0.2704], [0.3085, 0.6170, 0.6501], [0.5128, 0.0256, 0.7704], [0.2953, 0.5906, 0.3423], [0.7047, 0.4094, 0.8423], [0.6662, 0.3323, 0.5017], [0.9634, 0.9269, 0.6112], [0.0366, 0.0731, 0.1112], [0.1203, 0.2406, 0.3187], [0.8797, 0.7594, 0.8187], [0.8663, 0.7327, 0.1797], [0.1337, 0.2673, 0.6797], [0.4640, 0.9281, 0.4479], [0.5360, 0.0719, 0.9479], [0.8343, 0.6685, 0.5021], [0.1657, 0.3315, 0.0021]]
}

***

(10)
{
  "formula": "H2PbI",
  "functional": "PBE",
  "state": "optimized geometry",
  "dos_ef_per_ev_fu": 1.78,
  "dft_energy_ev_per_atom": -2.313,
  "lattice": [[-0.7069, 3.4985, 3.0598], [0.6599, 4.4593, -1.3346], [-3.6884, 2.8683, -0.5200]],
  "species": ["Pb", "H", "H", "I"],
  "fractional_positions": [[0.5000, 0.5000, 0.5000], [0.7500, 0.7500, 0.7500], [0.2500, 0.2500, 0.2500], [0.0000, 0.0000, 0.0000]]
}

***

(11)
{
  "formula": "AcTb5Au6",
  "functional": "PBE",
  "state": "optimized geometry",
  "dos_ef_per_ev_fu": 5.87,
  "ef_ev_per_atom": -0.8173,
  "lattice": [[5.0687, 0.0021, -1.0637], [-0.0032, 7.2956, -0.0007], [-0.9585, 0.0006, 8.2205]],
  "species": ["Tb", "Tb", "Tb", "Tb", "Tb", "Au", "Au", "Au", "Au", "Au", "Au", "Ac"],
  "fractional_positions": [[0.3305, 0.0000, 0.6608], [0.0000, 0.5000, 0.0000], [0.6695, 0.0000, 0.3392], [0.3348, 0.5000, 0.6692], [0.6652, 0.5000, 0.3308], [0.5000, 0.2728, 0.0000], [0.1746, 0.2576, 0.3500], [0.1746, 0.7424, 0.3500], [0.8254, 0.2576, 0.6500], [0.5000, 0.7272, 0.0000], [0.8254, 0.7424, 0.6500], [0.0000, 0.0000, 0.0000]]
}

***

(12)
{
  "formula": "Hg2PtI",
  "functional": "PBE",
  "state": "optimized geometry",
  "formation_energy_uncorrected_ev_per_atom": 0.59,
  "dos_ef_per_ev_fu": 5.03,
  "lattice": [[0.0000, 3.6382, 3.6382], [3.6382, 0.0000, 3.6382], [3.6382, 3.6382, 0.0000]],
  "species": ["Pt", "Hg", "Hg", "I"],
  "fractional_positions": [[0.5000, 0.5000, 0.5000], [0.7500, 0.7500, 0.7500], [0.2500, 0.2500, 0.2500], [0.0000, 0.0000, 0.0000]]
}

***

What did the eighth record say?
{
  "formula": "Cs3TbSb2O9",
  "functional": "PBE",
  "state": "optimized geometry",
  "formation_energy_uncorrected_ev_per_atom": -1.55,
  "dos_ef_per_ev_fu": 10.85,
  "lattice": [[6.0850, 0.0000, 0.0000], [-3.0425, 5.2698, 0.0000], [0.0000, 0.0000, 7.4795]],
  "species": ["O", "O", "O", "O", "O", "O", "O", "O", "O", "Tb", "Sb", "Sb", "Cs", "Cs", "Cs"],
  "fractional_positions": [[0.1776, 0.8224, 0.3140], [0.0000, 0.5000, 0.0000], [0.5000, 0.0000, 0.0000], [0.3553, 0.1776, 0.6860], [0.5000, 0.5000, 0.0000], [0.1776, 0.3553, 0.3140], [0.6447, 0.8224, 0.3140], [0.8224, 0.6447, 0.6860], [0.8224, 0.1776, 0.6860], [0.0000, 0.0000, 0.5000], [0.3333, 0.6667, 0.1611], [0.6667, 0.3333, 0.8389], [0.0000, 0.0000, 0.0000], [0.3333, 0.6667, 0.6633], [0.6667, 0.3333, 0.3367]]
}